No. 1
An optimized crystal structure of In3Te4. Source: Alexandria, functional PBEsol.

Calculated values
Its raw formation energy is -0.27 eV/atom. The space-group type is R-3m, No. 166. For the total moment, the calculation gives 0.00 μB/f.u. For the calculated volume, the calculation gives 209 Å³/f.u. The density of states at the Fermi level is 1.37 states/eV/f.u.

Cell lengths 4.2562, 4.2562, 13.5743 Å; angles 80.98, 80.98, 60.00 degrees
Closest atoms and distances in Å follow each position.
Atoms (fractional coordinates):
In 0.0000 0.0000 0.0000  6 Te 3.02
Te 0.7103 0.7103 0.8690  6 In 3.02-3.18
In 0.5726 0.5726 0.2821  6 Te 2.87-3.18
Te 0.2897 0.2897 0.1310  6 In 3.02-3.18
In 0.4274 0.4274 0.7179  6 Te 2.87-3.18
Te 0.1310 0.1310 0.6071  3 In 2.87
Te 0.8690 0.8690 0.3929  3 In 2.87



No. 2
An optimized crystal structure of NiBPb3. Source: Alexandria, functional PBEsol.

Calculated values
The space-group type is Pm-3m, No. 221. For the total moment, the calculation gives 0.00 μB/f.u. As for the formation energy: 1.021 eV per atom. For the calculated volume, the calculation gives 124 Å³/f.u. The density of states at the Fermi level is 2.82 states/eV/f.u.

Cell lengths 4.9868, 4.9868, 4.9868 Å; angles 90.00, 90.00, 90.00 degrees
Closest atoms and distances in Å follow each position.
Atoms (fractional coordinates):
Pb 0.0000 0.0000 0.5000  2 Ni 2.49
Pb 0.5000 0.0000 0.0000  2 Ni 2.49
Ni 0.0000 0.0000 0.0000  6 Pb 2.49
B 0.5000 0.5000 0.5000  12 Pb 3.53
Pb 0.0000 0.5000 0.0000  2 Ni 2.49



No. 3
An optimized crystal structure of La4AgTe. Source: Alexandria, functional PBEsol.

Calculated values
Its raw formation energy is 0.04 eV/atom. The space-group type is F-43m, No. 216. For the total moment, the calculation gives 0.00 μB/f.u. For the calculated volume, the calculation gives 176 Å³/f.u. The density of states at the Fermi level is 8.44 states/eV/f.u.

Cell lengths 6.2884, 6.2884, 6.2884 Å; angles 60.00, 60.00, 60.00 degrees
Closest atoms and distances in Å follow each position.
Atoms (fractional coordinates):
La 0.3761 0.8718 0.3761  6 La 3.12-3.17
Ag 0.0000 0.0000 0.0000  12 La 3.69, 4 Te 3.85
La 0.3761 0.3761 0.8718  6 La 3.12-3.17
Te 0.7500 0.7500 0.7500  12 La 3.68, 4 Ag 3.85
La 0.3761 0.3761 0.3761  6 La 3.12-3.17
La 0.8718 0.3761 0.3761  6 La 3.12-3.17



No. 4
An optimized crystal structure of P2PdSeCl. Source: Alexandria, functional PBEsol.

Calculated values
Its raw formation energy is 0.57 eV/atom. The space-group type is P4/mmm, No. 123. For the total moment, the calculation gives 0.00 μB/f.u. For the calculated volume, the calculation gives 100 Å³/f.u. The density of states at the Fermi level is 3.46 states/eV/f.u.

Cell lengths 4.6169, 4.6439, 4.6439 Å; angles 90.00, 90.00, 90.00 degrees
Closest atoms and distances in Å follow each position.
Atoms (fractional coordinates):
Se 0.5000 0.5000 0.5000  8 P 3.27, 4 Cl 3.28
P 0.0000 0.5000 0.0000  2 Pd 2.32
P 0.0000 0.0000 0.5000  2 Pd 2.32
Cl 0.5000 0.0000 0.0000  2 Pd 2.31
Pd 0.0000 0.0000 0.0000  2 Cl 2.31, 4 P 2.32



No. 5
An optimized crystal structure of Ti2CrSe4. Source: Alexandria, functional PBEsol.

Calculated values
Its raw formation energy is -0.99 eV/atom. The space-group type is C2/m, No. 12. For the total moment, the calculation gives 2.85 μB/f.u. For the calculated volume, the calculation gives 128 Å³/f.u. The density of states at the Fermi level is 4.00 states/eV/f.u.

Cell lengths 3.5090, 6.1619, 6.8512 Å; angles 115.92, 104.84, 90.00 degrees
Closest atoms and distances in Å follow each position.
Atoms (fractional coordinates):
Se 0.1117 0.4507 0.2234  1 Cr 2.49, 3 Ti 2.52-2.53
Ti 0.7478 0.7207 0.4955  6 Se 2.52-2.62
Se 0.8883 0.5493 0.7766  1 Cr 2.49, 3 Ti 2.52-2.53
Se 0.6258 0.9581 0.2515  2 Cr 2.51, 3 Ti 2.61-2.62
Cr 0.0000 0.0000 0.0000  6 Se 2.49-2.51
Se 0.3742 0.0419 0.7485  2 Cr 2.51, 3 Ti 2.61-2.62
Ti 0.2522 0.2793 0.5045  6 Se 2.52-2.62



No. 6
An optimized crystal structure of TaBeZnP2. Source: Alexandria, functional PBEsol.

Calculated values
The space-group type is P4/mmm, No. 123. For the total moment, the calculation gives 0.00 μB/f.u. As for the formation energy: 0.957 eV per atom. For the calculated volume, the calculation gives 111 Å³/f.u. The density of states at the Fermi level is 2.14 states/eV/f.u.

Cell lengths 4.7123, 4.7123, 4.9845 Å; angles 90.00, 90.00, 90.00 degrees
Closest atoms and distances in Å follow each position.
Atoms (fractional coordinates):
P 0.5000 0.0000 0.0000  2 Ta 2.36
Zn 0.0000 0.0000 0.5000  2 Ta 2.49
Be 0.5000 0.5000 0.5000  4 Zn 3.33, 8 P 3.43
P 0.0000 0.5000 0.0000  2 Ta 2.36
Ta 0.0000 0.0000 0.0000  4 P 2.36, 2 Zn 2.49



No. 7
An optimized crystal structure of KRb3. Source: Alexandria, functional PBEsol.

Calculated values
The space-group type is Pm-3m, No. 221. For the total moment, the calculation gives 0.00 μB/f.u. As for the formation energy: 0.003 eV per atom. For the calculated volume, the calculation gives 328 Å³/f.u. The density of states at the Fermi level is 3.38 states/eV/f.u.

Cell lengths 6.8949, 6.8949, 6.8949 Å; angles 90.00, 90.00, 90.00 degrees
Closest atoms and distances in Å follow each position.
Atoms (fractional coordinates):
Rb 0.5000 0.5000 0.0000  8 Rb 4.88, 4 K 4.88
Rb 0.5000 0.0000 0.5000  4 K 4.88, 8 Rb 4.88
Rb 0.0000 0.5000 0.5000  4 K 4.88, 8 Rb 4.88
K 0.0000 0.0000 0.0000  12 Rb 4.88



No. 8
An optimized crystal structure of MgTlPb2. Source: Alexandria, functional PBEsol.

Calculated values
The space-group type is F-43m, No. 216. For the total moment, the calculation gives 0.00 μB/f.u. As for the formation energy: 0.014 eV per atom. For the calculated volume, the calculation gives 112 Å³/f.u. The density of states at the Fermi level is 2.29 states/eV/f.u.

Cell lengths 5.4038, 5.4038, 5.4038 Å; angles 60.00, 60.00, 60.00 degrees
Closest atoms and distances in Å follow each position.
Atoms (fractional coordinates):
Tl 0.2500 0.2500 0.2500  4 Pb 3.31, 4 Mg 3.31
Pb 0.7500 0.7500 0.7500  4 Mg 3.31, 4 Pb 3.31
Mg 0.5000 0.5000 0.5000  4 Tl 3.31, 4 Pb 3.31
Pb 0.0000 0.0000 0.0000  4 Pb 3.31, 4 Tl 3.31



No. 9
An optimized crystal structure of Tl2HgAu. Source: Alexandria, functional PBEsol.

Calculated values
The calculation puts the energy above the most stable polymorph in this dataset at 0.0 meV/atom. The space-group type is P4mm, No. 99. For the total moment, the calculation gives 0.00 μB/f.u. As for the formation energy: 0.008 eV per atom. For the calculated volume, the calculation gives 96 Å³/f.u. The density of states at the Fermi level is 1.21 states/eV/f.u.

Cell lengths 3.3787, 3.3787, 8.4023 Å; angles 90.00, 90.00, 90.00 degrees
Closest atoms and distances in Å follow each position.
Atoms (fractional coordinates):
Tl 0.5000 0.5000 0.7079  4 Au 3.02, 4 Tl 3.38
Tl 0.0000 0.0000 0.0206  4 Hg 3.26, 8 Tl 3.38-3.55
Hg 0.5000 0.5000 0.2838  4 Au 2.94, 4 Tl 3.26
Au 0.0000 0.0000 0.4878  4 Hg 2.94, 4 Tl 3.02



No. 10
An optimized crystal structure of YTeAs2. Source: Alexandria, functional PBEsol.

Calculated values
Its raw formation energy is -0.50 eV/atom. The space-group type is Pmmm, No. 47. For the total moment, the calculation gives 0.00 μB/f.u. For the calculated volume, the calculation gives 91 Å³/f.u. The density of states at the Fermi level is 2.43 states/eV/f.u.

Cell lengths 3.9766, 4.2489, 5.3943 Å; angles 90.00, 90.00, 90.00 degrees
Closest atoms and distances in Å follow each position.
Atoms (fractional coordinates):
Te 0.5000 0.5000 0.0000  4 As 2.91
As 0.0000 0.0000 0.0000  4 Te 2.91
Y 0.0000 0.5000 0.5000  4 As 2.91
As 0.5000 0.0000 0.5000  4 Y 2.91



No. 11
An optimized crystal structure of Be2AlCu. Source: Alexandria, functional PBEsol.

Calculated values
The space-group type is I-42d, No. 122. For the total moment, the calculation gives 0.00 μB/f.u. As for the formation energy: 0.490 eV per atom. For the calculated volume, the calculation gives 49 Å³/f.u. The density of states at the Fermi level is 1.19 states/eV/f.u.

Cell lengths 4.6450, 5.1555, 5.1555 Å; angles 78.29, 63.23, 63.23 degrees
Closest atoms and distances in Å follow each position.
Atoms (fractional coordinates):
Be 0.3750 0.5381 0.9619  2 Cu 2.21, 2 Be 2.37
Be 0.8750 0.4619 0.0381  2 Cu 2.21, 2 Be 2.37
Be 0.6631 0.9619 0.4619  2 Cu 2.21, 2 Be 2.37
Cu 0.7500 0.5000 0.5000  4 Be 2.21, 2 Al 2.32
Be 0.0869 0.0381 0.5381  2 Cu 2.21, 2 Be 2.37
Cu 0.0000 0.0000 0.0000  4 Be 2.21, 2 Al 2.32
Al 0.5000 0.0000 0.0000  2 Cu 2.32, 4 Be 2.55
Al 0.2500 0.5000 0.5000  2 Cu 2.32, 4 Be 2.55



No. 12
An optimized crystal structure of RbNb2Fe. Source: Alexandria, functional PBEsol.

Calculated values
The space-group type is Fm-3m, No. 225. For the total moment, the calculation gives 0.66 μB/f.u. As for the formation energy: 1.536 eV per atom. For the calculated volume, the calculation gives 70 Å³/f.u. The density of states at the Fermi level is 4.53 states/eV/f.u.

Cell lengths 4.6214, 4.6214, 4.6214 Å; angles 60.00, 60.00, 60.00 degrees
Closest atoms and distances in Å follow each position.
Atoms (fractional coordinates):
Rb 0.5000 0.5000 0.5000  8 Nb 2.83
Nb 0.2500 0.2500 0.2500  4 Fe 2.83, 4 Rb 2.83
Nb 0.7500 0.7500 0.7500  4 Fe 2.83, 4 Rb 2.83
Fe 0.0000 0.0000 0.0000  8 Nb 2.83



No. 13
An optimized crystal structure of CaGa3Os. Source: Alexandria, functional PBEsol.

Calculated values
The space-group type is Pm-3m, No. 221. For the total moment, the calculation gives 2.61 μB/f.u. As for the formation energy: 2.022 eV per atom. For the calculated volume, the calculation gives 129 Å³/f.u. The density of states at the Fermi level is 6.23 states/eV/f.u.

Cell lengths 5.0546, 5.0546, 5.0546 Å; angles 90.00, 90.00, 90.00 degrees
Closest atoms and distances in Å follow each position.
Atoms (fractional coordinates):
Ga 0.0000 0.0000 0.5000  2 Ca 2.53
Ca 0.0000 0.0000 0.0000  6 Ga 2.53
Ga 0.0000 0.5000 0.0000  2 Ca 2.53
Os 0.5000 0.5000 0.5000  12 Ga 3.57
Ga 0.5000 0.0000 0.0000  2 Ca 2.53



No. 14
An optimized crystal structure of Ni2RuBr. Source: Alexandria, functional PBEsol.

Calculated values
The calculation puts the energy above the most stable polymorph in this dataset at 168.6 meV/atom. Its raw formation energy is 0.71 eV/atom. The space-group type is Cmmm, No. 65. For the total moment, the calculation gives 0.20 μB/f.u. For the calculated volume, the calculation gives 52 Å³/f.u. The density of states at the Fermi level is 5.81 states/eV/f.u.

Cell lengths 2.7885, 4.4965, 4.4965 Å; angles 111.51, 90.00, 90.00 degrees
Closest atoms and distances in Å follow each position.
Atoms (fractional coordinates):
Br 0.5000 0.5000 0.5000  2 Ru 2.53, 8 Ni 2.65, 2 Br 2.79
Ni 0.0000 0.0000 0.5000  4 Ni 2.53-2.79, 4 Br 2.65, 4 Ru 2.65
Ru 0.5000 0.0000 0.0000  2 Br 2.53, 8 Ni 2.65, 2 Ru 2.79
Ni 0.0000 0.5000 0.0000  4 Ni 2.53-2.79, 4 Ru 2.65, 4 Br 2.65